# 1
# GGA-PBE ErCdPt, optimized geometry
# ΔH_f (0 K)   -0.859 eV per atom
# Magnetic moment   0.000 μB per formula unit
# DOS at the Fermi energy   0.48 states/eV/atom
data_ErCdPt
_cell_length_a 5.0272
_cell_length_b 5.0272
_cell_length_c 5.7776
_cell_angle_alpha 90.00
_cell_angle_beta 90.00
_cell_angle_gamma 120.00
_space_group_name_H-M_alt 'P 63/m m c'
_space_group_IT_number 194
_space_group_name_Hall '-P 6c 2c'
loop_
_atom_site_label
_atom_site_fract_x
_atom_site_fract_y
_atom_site_fract_z
Er1 0.3333 0.6667 0.2500
Cd1 0.0000 0.0000 0.0000
Pt1 0.3333 0.6667 0.7500



# 2
# GGA-PBE Er4CdPt, optimized geometry
# ΔH_f (0 K)   -0.628 eV per atom
# Relative energy among the computed polymorphs   0 meV/atom
# Magnetic moment   0.000 μB per formula unit
# DOS at the Fermi energy   1.00 states/eV/atom
data_Er4CdPt
_cell_length_a 13.567
_cell_length_b 13.567
_cell_length_c 13.567
_cell_angle_alpha 90.00
_cell_angle_beta 90.00
_cell_angle_gamma 90.00
_space_group_name_H-M_alt 'F -4 3 m'
_space_group_IT_number 216
_space_group_name_Hall 'F -4 2 3'
loop_
_atom_site_label
_atom_site_fract_x
_atom_site_fract_y
_atom_site_fract_z
Er1 0.000 0.000 0.185
Er2 0.060 0.250 0.250
Er3 0.103 0.103 0.603
Cd1 0.168 0.168 0.832
Pt1 0.107 0.107 0.393



# 3
# GGA-PBE ErCd2Pt, optimized geometry
# ΔH_f (0 K)   0.092 eV per atom
# Magnetic moment   0.000 μB per formula unit
# DOS at the Fermi energy   0.60 states/eV/atom
data_ErCd2Pt
_cell_length_a 3.1262
_cell_length_b 3.1262
_cell_length_c 31.8464
_cell_angle_alpha 90.00
_cell_angle_beta 90.00
_cell_angle_gamma 120.00
_space_group_name_H-M_alt 'R -3 m'
_space_group_IT_number 166
_space_group_name_Hall '-R 3 2"'
loop_
_atom_site_label
_atom_site_fract_x
_atom_site_fract_y
_atom_site_fract_z
Er1 0.0000 0.0000 0.0000
Cd1 0.0000 0.0000 0.0971
Pt1 0.0000 0.0000 0.5000



# 4
# GGA-PBE ErCdPt, optimized geometry
# ΔH_f (0 K)   -0.794 eV per atom
# Magnetic moment   0.000 μB per formula unit
# DOS at the Fermi energy   0.57 states/eV/atom
data_ErCdPt
_cell_length_a 6.629
_cell_length_b 6.629
_cell_length_c 6.629
_cell_angle_alpha 90.00
_cell_angle_beta 90.00
_cell_angle_gamma 90.00
_space_group_name_H-M_alt 'F -4 3 m'
_space_group_IT_number 216
_space_group_name_Hall 'F -4 2 3'
loop_
_atom_site_label
_atom_site_fract_x
_atom_site_fract_y
_atom_site_fract_z
Er1 0.000 0.000 0.000
Cd1 0.000 0.000 0.500
Pt1 0.250 0.250 0.250



# 5
# GGA-PBE ErCdPt3, optimized geometry
# ΔH_f (0 K)   -0.471 eV per atom
# Magnetic moment   0.000 μB per formula unit
# DOS at the Fermi energy   0.42 states/eV/atom
data_ErCdPt3
_cell_length_a 6.6097
_cell_length_b 6.6097
_cell_length_c 5.3983
_cell_angle_alpha 90.00
_cell_angle_beta 90.00
_cell_angle_gamma 120.00
_space_group_name_H-M_alt 'P 63/m m c'
_space_group_IT_number 194
_space_group_name_Hall '-P 6c 2c'
loop_
_atom_site_label
_atom_site_fract_x
_atom_site_fract_y
_atom_site_fract_z
Er1 0.3333 0.6667 0.2500
Cd1 0.0000 0.0000 0.0000
Pt1 0.2019 0.4039 0.7500



# 6
# GGA-PBE ErCd2Pt2, optimized geometry
# ΔH_f (0 K)   -0.658 eV per atom
# Magnetic moment   0.000 μB per formula unit
# DOS at the Fermi energy   0.51 states/eV/atom
data_ErCd2Pt2
_cell_length_a 5.516
_cell_length_b 4.616
_cell_length_c 8.756
_cell_angle_alpha 90.00
_cell_angle_beta 106.89
_cell_angle_gamma 90.00
_space_group_name_H-M_alt 'P 1 21/m 1'
_space_group_IT_number 11
loop_
_space_group_symop_operation_xyz
'x,y,z'
'-x,-y,-z'
'-x,y+1/2,-z'
'x,-y+1/2,z'
loop_
_atom_site_label
_atom_site_fract_x
_atom_site_fract_y
_atom_site_fract_z
Er1 0.087 0.250 0.262
Cd1 0.336 0.250 0.949
Cd2 0.422 0.250 0.627
Pt1 0.134 0.750 0.475
Pt2 0.177 0.750 0.083



# 7
# GGA-PBE ErCd2Pt9, optimized geometry
# ΔH_f (0 K)   -0.425 eV per atom
# Magnetic moment   0.000 μB per formula unit
# DOS at the Fermi energy   0.93 states/eV/atom
data_ErCd2Pt9
_cell_length_a 5.3567
_cell_length_b 5.3567
_cell_length_c 26.3259
_cell_angle_alpha 90.00
_cell_angle_beta 90.00
_cell_angle_gamma 120.00
_space_group_name_H-M_alt 'R -3 m'
_space_group_IT_number 166
_space_group_name_Hall '-R 3 2"'
loop_
_atom_site_label
_atom_site_fract_x
_atom_site_fract_y
_atom_site_fract_z
Er1 0.0000 0.0000 0.0000
Cd1 0.0000 0.0000 0.1443
Pt1 0.0000 0.0000 0.3337
Pt2 0.0000 0.0000 0.5000
Pt3 0.0042 0.5021 0.9150



# 8
# GGA-PBE ErCdPt, optimized geometry
# ΔH_f (0 K)   -0.694 eV per atom
# Magnetic moment   0.000 μB per formula unit
# DOS at the Fermi energy   0.66 states/eV/atom
data_ErCdPt
_cell_length_a 8.018
_cell_length_b 8.018
_cell_length_c 4.374
_cell_angle_alpha 90.00
_cell_angle_beta 90.00
_cell_angle_gamma 90.00
_space_group_name_H-M_alt 'P 42/m'
_space_group_IT_number 84
loop_
_space_group_symop_operation_xyz
'x,y,z'
'-x,-y,-z'
'-y,x,z+1/2'
'y,-x,-z+1/2'
'-x,-y,z'
'x,y,-z'
'y,-x,z+1/2'
'-y,x,-z+1/2'
loop_
_atom_site_label
_atom_site_fract_x
_atom_site_fract_y
_atom_site_fract_z
Er1 0.073 0.706 0.000
Cd1 0.350 0.375 0.000
Pt1 0.131 0.389 0.500



# 9
# GGA-PBE Er4CdPt, optimized geometry
# ΔH_f (0 K)   -0.373 eV per atom
# Relative energy among the computed polymorphs   255 meV/atom
# Magnetic moment   0.003 μB per formula unit
# DOS at the Fermi energy   1.35 states/eV/atom
data_Er4CdPt
_cell_length_a 7.321
_cell_length_b 7.020
_cell_length_c 6.934
_cell_angle_alpha 90.00
_cell_angle_beta 92.67
_cell_angle_gamma 90.00
_space_group_name_H-M_alt 'P 1 21/c 1'
_space_group_IT_number 14
loop_
_space_group_symop_operation_xyz
'x,y,z'
'-x,-y,-z'
'-x,y+1/2,-z+1/2'
'x,-y+1/2,z+1/2'
loop_
_atom_site_label
_atom_site_fract_x
_atom_site_fract_y
_atom_site_fract_z
Er1 0.143 0.158 0.173
Er2 0.324 0.643 0.124
Cd1 0.500 0.000 0.000
Pt1 0.000 0.000 0.500



# 10
# GGA-PBE Er11Cd9Pt4, optimized geometry
# ΔH_f (0 K)   -0.679 eV per atom
# Magnetic moment   0.000 μB per formula unit
# DOS at the Fermi energy   0.82 states/eV/atom
data_Er11Cd9Pt4
_cell_length_a 14.524
_cell_length_b 21.938
_cell_length_c 3.610
_cell_angle_alpha 90.00
_cell_angle_beta 90.00
_cell_angle_gamma 90.00
_space_group_name_H-M_alt 'C m m m'
_space_group_IT_number 65
_space_group_name_Hall '-C 2 2'
loop_
_atom_site_label
_atom_site_fract_x
_atom_site_fract_y
_atom_site_fract_z
Er1 0.000 0.000 0.000
Er2 0.000 0.162 0.000
Er3 0.000 0.371 0.000
Er4 0.195 0.500 0.000
Er5 0.246 0.169 0.000
Cd1 0.000 0.500 0.500
Cd2 0.106 0.260 0.500
Cd3 0.141 0.072 0.500
Pt1 0.150 0.400 0.500



# 11
# GGA-PBE Er5Cd2Pt2, optimized geometry
# ΔH_f (0 K)   -0.713 eV per atom
# Magnetic moment   0.000 μB per formula unit
# DOS at the Fermi energy   0.82 states/eV/atom
data_Er5Cd2Pt2
_cell_length_a 15.877
_cell_length_b 7.690
_cell_length_c 7.530
_cell_angle_alpha 90.00
_cell_angle_beta 90.00
_cell_angle_gamma 90.00
_space_group_name_H-M_alt 'C m c e'
_space_group_IT_number 64
_space_group_name_Hall '-C 2ac 2'
loop_
_atom_site_label
_atom_site_fract_x
_atom_site_fract_y
_atom_site_fract_z
Er1 0.000 0.000 0.000
Er2 0.120 0.175 0.330
Cd1 0.216 0.000 0.000
Pt1 0.000 0.132 0.633



# 12
# GGA-PBE Er5CdPt2, optimized geometry
# ΔH_f (0 K)   -0.789 eV per atom
# Magnetic moment   0.000 μB per formula unit
# DOS at the Fermi energy   1.10 states/eV/atom
data_Er5CdPt2
_cell_length_a 7.824
_cell_length_b 7.824
_cell_length_c 13.225
_cell_angle_alpha 90.00
_cell_angle_beta 90.00
_cell_angle_gamma 90.00
_space_group_name_H-M_alt 'I 4/m c m'
_space_group_IT_number 140
_space_group_name_Hall '-I 4 2c'
loop_
_atom_site_label
_atom_site_fract_x
_atom_site_fract_y
_atom_site_fract_z
Er1 0.000 0.000 0.000
Er2 0.159 0.341 0.137
Cd1 0.000 0.000 0.250
Pt1 0.138 0.362 0.500